DFT (PBE) results for an optimized crystal structure of MgReHRu2. Values from VASP.

Properties
Fermi-level density of states = 1.457 states/eV/atom
calculated total energy = -34.38 eV/cell

```
&SYSTEM
  ibrav = 0, nat = 5, ntyp = 4
/
ATOMIC_SPECIES
Re 186.21 Re.upf
Mg 24.30 Mg.upf
H 1.01 H.upf
Ru 101.07 Ru.upf
ATOMIC_POSITIONS angstrom
Re 1.373 0.185 3.121
Mg 1.815 -0.236 0.323
H 0.000 0.000 0.000
Ru -0.007 1.615 1.222
Ru -0.436 -1.194 1.577
CELL_PARAMETERS angstrom
-0.872 -2.388 3.153
3.631 -0.473 0.645
-0.013 3.231 2.443
```

---

DFT (PBE) results for an optimized crystal structure of Mg2TlReH. Values from VASP.

Properties
Fermi-level density of states = 0.865 states/eV/atom
calculated total energy = -15.03 eV/cell

```
&SYSTEM
  ibrav = 0, nat = 5, ntyp = 4
/
ATOMIC_SPECIES
Re 186.21 Re.upf
Tl 204.38 Tl.upf
Mg 24.30 Mg.upf
H 1.01 H.upf
ATOMIC_POSITIONS angstrom
Re 0.000 0.000 0.000
Tl 1.570 -1.423 1.599
Mg 1.676 2.013 0.147
Mg -1.291 0.922 2.089
H 1.954 1.512 3.835
CELL_PARAMETERS angstrom
-2.583 1.845 4.179
3.139 -2.847 3.197
3.352 4.027 0.294
```

---

Please write out number 1 again, unchanged.
DFT (PBE) results for an optimized crystal structure of MgReHRu2. Values from VASP.

Properties
Fermi-level density of states = 1.457 states/eV/atom
calculated total energy = -34.38 eV/cell

```
&SYSTEM
  ibrav = 0, nat = 5, ntyp = 4
/
ATOMIC_SPECIES
Re 186.21 Re.upf
Mg 24.30 Mg.upf
H 1.01 H.upf
Ru 101.07 Ru.upf
ATOMIC_POSITIONS angstrom
Re 1.373 0.185 3.121
Mg 1.815 -0.236 0.323
H 0.000 0.000 0.000
Ru -0.007 1.615 1.222
Ru -0.436 -1.194 1.577
CELL_PARAMETERS angstrom
-0.872 -2.388 3.153
3.631 -0.473 0.645
-0.013 3.231 2.443
```

---

Among the records above, which one has the lowest Fermi-level density of states?
Mg2TlReH

---

Fermi-level density of states of number 2 (Mg2TlReH)?
0.865 states/eV/atom